The following is a PBE calculation of crystalline LiPrBi2 at its relaxed geometry, from Alexandria.

a b c (Å): 5.5021 5.5021 5.5021
angles (deg): 60.00 60.00 60.00
Element x y z (fractional)
Pr 0.0000 0.0000 0.0000
Bi 0.2500 0.2500 0.2500
Bi 0.7500 0.7500 0.7500
Li 0.5000 0.5000 0.5000

Summary:
E_tot ... -4.092 eV per atom
Energy relative to the lowest polymorph listed for this composition ... 0.215 eV/atom
V ... 29.44 Å³/atom

The following is a PBE calculation of crystalline BaNpSb2Au2 at its relaxed geometry, from Alexandria.

a b c (Å): 4.7549 4.7549 8.7362
angles (deg): 90.00 90.00 120.00
Last column: magnetic moment on the atom in μB.
Element x y z (fractional)
Ba 0.0000 0.0000 0.0000  0.04
Np 0.0000 0.0000 0.5000  4.09
Sb 0.6667 0.3333 0.2650  -0.01
Sb 0.3333 0.6667 0.7350  -0.01
Au 0.6667 0.3333 0.6873  0.02
Au 0.3333 0.6667 0.3127  0.02

Summary:
E_tot ... -5.485 eV per atom
Energy relative to the elements, uncorrected ... -3.25 eV per formula unit
V ... 28.51 Å³/atom

The following is a PBE calculation of crystalline Sc2TlAs at its relaxed geometry, from Alexandria.

a b c (Å): 3.9392 4.1579 5.7091
angles (deg): 90.00 90.00 90.00
Element x y z (fractional)
As 0.5000 0.5000 0.8749
Sc 0.0000 0.0000 0.8751
Sc 0.5000 0.5000 0.3749
Tl 0.0000 0.0000 0.3751

Summary:
E_tot ... -5.470 eV per atom
Energy relative to the lowest polymorph listed for this composition ... 0.248 eV/atom
V ... 23.38 Å³/atom

The following is a PBE calculation of crystalline Dy3Ag2Hg2 at its relaxed geometry, from Alexandria.

a b c (Å): 5.6173 4.9039 8.0202
angles (deg): 107.81 104.38 115.78
Element x y z (fractional)
Dy 0.0000 0.0000 0.0000
Dy 0.4675 0.0956 0.7245
Dy 0.5325 0.9044 0.2755
Ag 0.1987 0.3140 0.4296
Ag 0.8013 0.6860 0.5704
Hg 0.8552 0.5255 0.1958
Hg 0.1448 0.4745 0.8042

Summary:
E_tot ... -3.193 eV per atom
V ... 24.23 Å³/atom